Record 1
Material: Na2UZnS4
Method: DFT, GGA-PBE
State: relaxed

Formation energy without anion corrections: -1.117 eV per atom
Crystal system: monoclinic
E: -40.65 eV/cell

Geometry as CIF:
```
data_Na2UZnS4
_symmetry_space_group_name_H-M 'P 1 2/m 1'
_symmetry_Int_Tables_number 10
_cell_length_a 6.682
_cell_length_b 3.851
_cell_length_c 7.103
_cell_angle_alpha 90.00
_cell_angle_beta 109.50
_cell_angle_gamma 90.00
loop_
_symmetry_equiv_pos_as_xyz
'x,y,z'
'-x,-y,-z'
'-x,y,-z'
'x,-y,z'
loop_
_atom_site_label
_atom_site_type_symbol
_atom_site_fract_x
_atom_site_fract_y
_atom_site_fract_z
Na1 Na 0.000 0.000 0.000
Na2 Na 0.500 0.500 0.000
U1 U 0.000 0.500 0.500
Zn1 Zn 0.500 0.000 0.500
S1 S 0.238 0.000 0.737
S2 S 0.276 0.500 0.296
```

=====

Record 2
Material: CuB2PtN
Method: DFT, GGA-PBE
State: relaxed

Formation energy without anion corrections: 1.965 eV per atom
Crystal system: tetragonal
E: -21.99 eV/cell

Geometry as CIF:
```
data_CuB2PtN
_symmetry_space_group_name_H-M 'P 4/m m m'
_symmetry_Int_Tables_number 123
_symmetry_space_group_name_Hall '-P 4 2'
_cell_length_a 3.581
_cell_length_b 3.581
_cell_length_c 5.091
_cell_angle_alpha 90.00
_cell_angle_beta 90.00
_cell_angle_gamma 90.00
loop_
_atom_site_label
_atom_site_type_symbol
_atom_site_fract_x
_atom_site_fract_y
_atom_site_fract_z
Cu1 Cu 0.000 0.000 0.000
B1 B 0.000 0.500 0.000
Pt1 Pt 0.000 0.000 0.500
N1 N 0.500 0.500 0.500
```

=====

Record 3
Material: Ir2CO
Method: DFT, GGA-PBE
State: relaxed

Offset from the most stable computed form: 0.0000 eV/atom
Formation energy without anion corrections: 0.379 eV per atom
Crystal system: tetragonal
E: -121.55 eV/cell

Geometry as CIF:
```
data_Ir2CO
_symmetry_space_group_name_H-M 'I -4 2 d'
_symmetry_Int_Tables_number 122
_symmetry_space_group_name_Hall 'I -4 2bw'
_cell_length_a 4.672
_cell_length_b 4.672
_cell_length_c 9.553
_cell_angle_alpha 90.00
_cell_angle_beta 90.00
_cell_angle_gamma 90.00
loop_
_atom_site_label
_atom_site_type_symbol
_atom_site_fract_x
_atom_site_fract_y
_atom_site_fract_z
Ir1 Ir 0.209 0.250 0.125
C1 C 0.000 0.000 0.000
O1 O 0.000 0.000 0.500
```

=====

Record 4
Material: Zr2ScH4
Method: DFT, GGA-PBE
State: relaxed

Offset from the most stable computed form: 0.0000 eV/atom
Crystal system: orthorhombic
E: -159.14 eV/cell

Geometry as CIF:
```
data_Zr2ScH4
_symmetry_space_group_name_H-M 'I m m a'
_symmetry_Int_Tables_number 74
_symmetry_space_group_name_Hall '-I 2b 2'
_cell_length_a 6.166
_cell_length_b 6.167
_cell_length_c 8.726
_cell_angle_alpha 90.00
_cell_angle_beta 90.00
_cell_angle_gamma 90.00
loop_
_atom_site_label
_atom_site_type_symbol
_atom_site_fract_x
_atom_site_fract_y
_atom_site_fract_z
Zr1 Zr 0.000 0.000 0.000
Zr2 Zr 0.250 0.250 0.250
Sc1 Sc 0.000 0.250 0.625
H1 H 0.000 0.024 0.238
H2 H 0.225 0.250 0.013
```

=====

Record 5
Material: DyTm5Mg3
Method: DFT, GGA-PBE
State: relaxed

ΔH_f (0 K): 331 kJ/mol of formula units
Crystal system: monoclinic
E: -113.27 eV/cell

Geometry as CIF:
```
data_DyTm5Mg3
_symmetry_space_group_name_H-M 'C 1 2/m 1'
_symmetry_Int_Tables_number 12
_cell_length_a 11.293
_cell_length_b 9.040
_cell_length_c 11.887
_cell_angle_alpha 90.00
_cell_angle_beta 104.55
_cell_angle_gamma 90.00
loop_
_symmetry_equiv_pos_as_xyz
'x,y,z'
'-x,-y,-z'
'-x,y,-z'
'x,-y,z'
'x+1/2,y+1/2,z'
'-x+1/2,-y+1/2,-z'
'-x+1/2,y+1/2,-z'
'x+1/2,-y+1/2,z'
loop_
_atom_site_label
_atom_site_type_symbol
_atom_site_fract_x
_atom_site_fract_y
_atom_site_fract_z
Dy1 Dy 0.117 0.000 0.265
Tm1 Tm 0.000 0.308 0.000
Tm2 Tm 0.087 0.500 0.633
Tm3 Tm 0.177 0.183 0.798
Tm4 Tm 0.224 0.500 0.932
Mg1 Mg 0.000 0.000 0.000
Mg2 Mg 0.000 0.000 0.500
Mg3 Mg 0.080 0.500 0.212
Mg4 Mg 0.237 0.500 0.439
```

=====

Record 6
Material: CrIrOs2
Method: DFT, GGA-PBE
State: relaxed

Offset from the most stable computed form: 0.0000 eV/atom
ΔH_f (0 K): -8 kJ/mol of formula units
Crystal system: tetragonal
E: -41.03 eV/cell

Geometry as CIF:
```
data_CrIrOs2
_symmetry_space_group_name_H-M 'P 4/m m m'
_symmetry_Int_Tables_number 123
_symmetry_space_group_name_Hall '-P 4 2'
_cell_length_a 3.805
_cell_length_b 3.805
_cell_length_c 3.825
_cell_angle_alpha 90.00
_cell_angle_beta 90.00
_cell_angle_gamma 90.00
loop_
_atom_site_label
_atom_site_type_symbol
_atom_site_fract_x
_atom_site_fract_y
_atom_site_fract_z
Cr1 Cr 0.000 0.000 0.000
Ir1 Ir 0.500 0.500 0.000
Os1 Os 0.000 0.500 0.500
```

=====

Record 7
Material: ScGa3Cu
Method: DFT, GGA-PBE
State: relaxed

Offset from the most stable computed form: 1.1886 eV/atom
ΔH_f (0 K): 418 kJ/mol of formula units
Crystal system: cubic
E: -15.17 eV/cell

Geometry as CIF:
```
data_ScGa3Cu
_symmetry_space_group_name_H-M 'P m -3 m'
_symmetry_Int_Tables_number 221
_symmetry_space_group_name_Hall '-P 4 2 3'
_cell_length_a 5.189
_cell_length_b 5.189
_cell_length_c 5.189
_cell_angle_alpha 90.00
_cell_angle_beta 90.00
_cell_angle_gamma 90.00
loop_
_atom_site_label
_atom_site_type_symbol
_atom_site_fract_x
_atom_site_fract_y
_atom_site_fract_z
Sc1 Sc 0.000 0.000 0.000
Ga1 Ga 0.000 0.000 0.500
Cu1 Cu 0.500 0.500 0.500
```

=====

Record 8
Material: BaTe2I
Method: DFT, GGA-PBE
State: relaxed

Offset from the most stable computed form: 0.2104 eV/atom
Formation energy without anion corrections: -0.440 eV per atom
Crystal system: cubic
E: -46.06 eV/cell

Geometry as CIF:
```
data_BaTe2I
_symmetry_space_group_name_H-M 'F m -3 m'
_symmetry_Int_Tables_number 225
_symmetry_space_group_name_Hall '-F 4 2 3'
_cell_length_a 8.406
_cell_length_b 8.406
_cell_length_c 8.406
_cell_angle_alpha 90.00
_cell_angle_beta 90.00
_cell_angle_gamma 90.00
loop_
_atom_site_label
_atom_site_type_symbol
_atom_site_fract_x
_atom_site_fract_y
_atom_site_fract_z
Ba1 Ba 0.000 0.000 0.000
Te1 Te 0.250 0.250 0.250
I1 I 0.000 0.000 0.500
```

=====

Record 9
Material: ScIBr3
Method: DFT, GGA-PBE
State: relaxed

Offset from the most stable computed form: 0.2045 eV/atom
Formation energy without anion corrections: -1.133 eV per atom
Crystal system: monoclinic
E: -74.26 eV/cell

Geometry as CIF:
```
data_ScIBr3
_symmetry_space_group_name_H-M 'C 1 2/m 1'
_symmetry_Int_Tables_number 12
_cell_length_a 18.150
_cell_length_b 3.734
_cell_length_c 10.712
_cell_angle_alpha 90.00
_cell_angle_beta 99.42
_cell_angle_gamma 90.00
loop_
_symmetry_equiv_pos_as_xyz
'x,y,z'
'-x,-y,-z'
'-x,y,-z'
'x,-y,z'
'x+1/2,y+1/2,z'
'-x+1/2,-y+1/2,-z'
'-x+1/2,y+1/2,-z'
'x+1/2,-y+1/2,z'
loop_
_atom_site_label
_atom_site_type_symbol
_atom_site_fract_x
_atom_site_fract_y
_atom_site_fract_z
Sc1 Sc 0.175 0.000 0.138
I1 I 0.239 0.000 0.684
Br1 Br 0.062 0.000 0.558
Br2 Br 0.072 0.500 0.179
Br3 Br 0.172 0.500 0.945
```

=====

Record 10
Material: NaCr2Hg
Method: DFT, GGA-PBE
State: relaxed

ΔH_f (0 K): 408 kJ/mol of formula units
Crystal system: tetragonal
E: -66.54 eV/cell

Geometry as CIF:
```
data_NaCr2Hg
_symmetry_space_group_name_H-M 'I -4 2 d'
_symmetry_Int_Tables_number 122
_symmetry_space_group_name_Hall 'I -4 2bw'
_cell_length_a 3.943
_cell_length_b 3.943
_cell_length_c 20.477
_cell_angle_alpha 90.00
_cell_angle_beta 90.00
_cell_angle_gamma 90.00
loop_
_atom_site_label
_atom_site_type_symbol
_atom_site_fract_x
_atom_site_fract_y
_atom_site_fract_z
Na1 Na 0.000 0.000 0.000
Cr1 Cr 0.128 0.250 0.625
Hg1 Hg 0.000 0.000 0.500
```

=====

Record 11
Material: Ga4Ir3Pd
Method: DFT, GGA-PBE
State: relaxed

ΔH_f (0 K): -321 kJ/mol of formula units
Crystal system: tetragonal
E: -47.21 eV/cell

Geometry as CIF:
```
data_Ga4Ir3Pd
_symmetry_space_group_name_H-M 'P 4/m m m'
_symmetry_Int_Tables_number 123
_symmetry_space_group_name_Hall '-P 4 2'
_cell_length_a 4.378
_cell_length_b 4.378
_cell_length_c 6.047
_cell_angle_alpha 90.00
_cell_angle_beta 90.00
_cell_angle_gamma 90.00
loop_
_atom_site_label
_atom_site_type_symbol
_atom_site_fract_x
_atom_site_fract_y
_atom_site_fract_z
Ga1 Ga 0.000 0.500 0.249
Ir1 Ir 0.000 0.000 0.000
Ir2 Ir 0.000 0.000 0.500
Ir3 Ir 0.500 0.500 0.500
Pd1 Pd 0.500 0.500 0.000
```

=====

Record 12
Material: Ba3MnAs
Method: DFT, GGA-PBE
State: relaxed

ΔH_f (0 K): -7 kJ/mol of formula units
Crystal system: cubic
E: -19.66 eV/cell

Geometry as CIF:
```
data_Ba3MnAs
_symmetry_space_group_name_H-M 'P m -3 m'
_symmetry_Int_Tables_number 221
_symmetry_space_group_name_Hall '-P 4 2 3'
_cell_length_a 6.363
_cell_length_b 6.363
_cell_length_c 6.363
_cell_angle_alpha 90.00
_cell_angle_beta 90.00
_cell_angle_gamma 90.00
loop_
_atom_site_label
_atom_site_type_symbol
_atom_site_fract_x
_atom_site_fract_y
_atom_site_fract_z
Ba1 Ba 0.000 0.000 0.500
Mn1 Mn 0.500 0.500 0.500
As1 As 0.000 0.000 0.000
```

=====

Which of these has the highest E? ScGa3Cu

=====

The lowest E belongs to which entry? Zr2ScH4

=====

Which of these has the highest E? ScGa3Cu